DFT (SCAN) results for a PBEsol-optimized structure of Mn2CrRh.

a b c (Å): 2.557 3.475 5.144
angles (deg): 90.00 90.00 90.00
Element x y z (fractional)
Cr  0.500  0.500  0.773
Mn  0.000  0.000  0.011
Mn  0.500  0.500  0.217
Rh  0.000  0.000  0.499

Output
The value obtained for the formation energy is 7 meV/atom.

DFT (SCAN) results for a PBEsol-optimized structure of MnCrRh.

a b c (Å): 2.550 3.984 3.984
angles (deg): 120.00 90.00 90.00
Element x y z (fractional)
Cr  0.000  0.000  0.000
Mn  0.000  0.333  0.667
Rh  0.500  0.667  0.333

Output
The value obtained for the formation energy is 53 meV/atom.

DFT (SCAN) results for a PBEsol-optimized structure of MnCrRu.

a b c (Å): 2.558 3.976 3.976
angles (deg): 120.00 90.00 90.00
Element x y z (fractional)
Ru  0.500  0.667  0.333
Mn  0.000  0.333  0.667
Cr  0.000  0.000  0.000

Output
The value obtained for the formation energy is 119 meV/atom.

DFT (SCAN) results for a PBEsol-optimized structure of Mn4CrRu.

a b c (Å): 4.549 4.549 4.549
angles (deg): 60.00 60.00 60.00
Element x y z (fractional)
Cr  0.000  0.000  0.000
Mn  0.375  0.375  0.375
Mn  0.375  0.375  0.874
Mn  0.874  0.375  0.375
Mn  0.375  0.874  0.375
Ru  0.750  0.750  0.750

Output
The value obtained for the formation energy is 142 meV/atom.

DFT (SCAN) results for a PBEsol-optimized structure of MnCrS2.

a b c (Å): 2.978 2.978 7.640
angles (deg): 78.76 78.76 60.00
Element x y z (fractional)
Cr  0.500  0.500  0.500
S  0.900  0.900  0.300
S  0.100  0.100  0.700
Mn  0.000  0.000  0.000

Output
As for the uncorrected formation energy: -1.699 eV/f.u.

DFT (SCAN) results for a PBEsol-optimized structure of MnCr2Se3S.

a b c (Å): 3.581 6.168 6.621
angles (deg): 116.98 105.69 90.00
Element x y z (fractional)
Cr  0.746  0.769  0.492
Cr  0.261  0.234  0.523
S  0.872  0.195  0.743
Mn  0.999  0.012  0.997
Se  0.118  0.785  0.236
Se  0.635  0.302  0.269
Se  0.370  0.703  0.740

Output
As for the uncorrected formation energy: -6.269 eV/f.u.

DFT (SCAN) results for a PBEsol-optimized structure of MnCr2Se2S2.

a b c (Å): 7.238 7.238 7.238
angles (deg): 60.00 60.00 60.00
Element x y z (fractional)
Mn  0.250  0.250  0.250
Mn  0.500  0.500  0.500
Cr  0.879  0.362  0.879
Cr  0.879  0.879  0.879
Cr  0.362  0.879  0.879
Cr  0.879  0.879  0.362
Se  0.635  0.094  0.635
Se  0.635  0.635  0.635
Se  0.094  0.635  0.635
Se  0.635  0.635  0.094
S  0.114  0.658  0.114
S  0.114  0.114  0.114
S  0.658  0.114  0.114
S  0.114  0.114  0.658

Output
As for the uncorrected formation energy: -7.339 eV/f.u.

DFT (SCAN) results for a PBEsol-optimized structure of MnCrSb.

a b c (Å): 3.006 4.220 4.220
angles (deg): 120.00 90.00 90.00
Element x y z (fractional)
Cr  0.970  0.000  0.000
Mn  0.673  0.667  0.333
Sb  0.358  0.333  0.667

Output
As for the uncorrected formation energy: 0.316 eV/f.u.

DFT (SCAN) results for a PBEsol-optimized structure of MnCrSb.

a b c (Å): 4.405 4.405 5.276
angles (deg): 90.00 90.00 120.00
Element x y z (fractional)
Mn  0.000  0.000  0.000
Mn  0.000  0.000  0.500
Cr  0.333  0.667  0.750
Cr  0.667  0.333  0.250
Sb  0.333  0.667  0.250
Sb  0.667  0.333  0.750

Output
As for the uncorrected formation energy: 0.503 eV/f.u.

DFT (SCAN) results for a PBEsol-optimized structure of MnCr2Sb.

a b c (Å): 3.922 3.922 4.565
angles (deg): 115.44 115.44 90.00
Element x y z (fractional)
Cr  0.750  0.250  0.500
Cr  0.250  0.750  0.500
Mn  0.500  0.500  0.000
Sb  0.000  0.000  0.000

Output
As for the uncorrected formation energy: 0.575 eV/f.u.

DFT (SCAN) results for a PBEsol-optimized structure of MnCrSb.

a b c (Å): 4.107 4.107 4.107
angles (deg): 60.00 60.00 60.00
Element x y z (fractional)
Cr  0.500  0.500  0.500
Mn  0.250  0.250  0.250
Sb  0.000  0.000  0.000

Output
As for the uncorrected formation energy: -0.375 eV/f.u.

DFT (SCAN) results for a PBEsol-optimized structure of Sc4MnCr.

a b c (Å): 5.621 5.621 5.621
angles (deg): 60.00 60.00 60.00
Element x y z (fractional)
Cr  0.750  0.750  0.750
Mn  0.000  0.000  0.000
Sc  0.875  0.375  0.375
Sc  0.375  0.375  0.375
Sc  0.375  0.375  0.875
Sc  0.375  0.875  0.375

Output
The value obtained for the formation energy is 485 meV/atom.

DFT (SCAN) results for a PBEsol-optimized structure of ScMnCr2.

a b c (Å): 2.788 2.788 8.147
angles (deg): 80.15 80.15 60.00
Element x y z (fractional)
Cr  0.013  0.013  0.962
Cr  0.749  0.749  0.754
Mn  0.489  0.489  0.532
Sc  0.249  0.249  0.252

Output
The value obtained for the formation energy is 409 meV/atom.

DFT (SCAN) results for a PBEsol-optimized structure of ScMnCr2.

a b c (Å): 2.683 3.950 5.070
angles (deg): 90.00 102.81 90.00
Element x y z (fractional)
Cr  0.755  0.000  0.798
Cr  0.245  0.000  0.202
Mn  0.500  0.500  0.000
Sc  0.000  0.500  0.500

Output
The value obtained for the formation energy is 369 meV/atom.

DFT (SCAN) results for a PBEsol-optimized structure of ScMnCr2.

a b c (Å): 2.896 2.896 6.335
angles (deg): 90.00 90.00 90.00
Element x y z (fractional)
Cr  0.000  0.000  0.042
Cr  0.500  0.500  0.250
Mn  0.000  0.000  0.461
Sc  0.500  0.500  0.747

Output
The value obtained for the formation energy is 47 meV/atom.